Here is a crystal of NaPbS3 relaxed with PBEsol from Alexandria. Energies are from meta-GGA SCAN.

Results
For the calculated volume, the calculation gives 27.69 Å³ per atom. The value obtained for the uncorrected formation energy is 0.056 eV per atom. The spin magnetization comes out at 0.0003 μB per atom. The uncorrected energy is -21.7197 eV/atom.

Unit cell a=5.173 b=5.173 c=5.173 alpha=90.00 beta=90.00 gamma=90.00
Space group Pm-3m (No. 221)
One atom of each set of equivalent atoms:
Na1 0.000 0.000 0.000 [1 per cell]
Pb1 0.500 0.500 0.500 [1 per cell]
S1 0.000 0.500 0.500 [3 per cell]

=====

Here is a crystal of NaSb2Pb2 relaxed with PBEsol from Alexandria. Energies are from meta-GGA SCAN.

Results
For the calculated volume, the calculation gives 30.00 Å³ per atom. The value obtained for the uncorrected formation energy is -0.070 eV per atom. The spin magnetization comes out at 0.0000 μB per atom. The uncorrected energy is -46.1300 eV/atom.

Unit cell a=8.623 b=8.623 c=4.034 alpha=90.00 beta=90.00 gamma=90.00
Space group P4/mbm (No. 127)
One atom of each set of equivalent atoms:
Na1 0.000 0.000 0.000 [2 per cell]
Sb1 0.148 0.352 0.000 [4 per cell]
Pb1 0.145 0.645 0.500 [4 per cell]

=====

Here is a crystal of NaSb2Pb2 relaxed with PBEsol from Alexandria. Energies are from meta-GGA SCAN.

Results
For the calculated volume, the calculation gives 32.60 Å³ per atom. The value obtained for the uncorrected formation energy is -0.042 eV per atom. The spin magnetization comes out at 0.0000 μB per atom. The uncorrected energy is -46.1021 eV/atom.

Unit cell a=4.735 b=4.735 c=14.535 alpha=90.00 beta=90.00 gamma=90.00
Space group I4/mmm (No. 139)
One atom of each set of equivalent atoms:
Na1 0.000 0.000 0.000 [2 per cell]
Sb1 0.000 0.000 0.401 [4 per cell]
Pb1 0.000 0.500 0.250 [4 per cell]

=====

Here is a crystal of Na2Sb2Pb relaxed with PBEsol from Alexandria. Energies are from meta-GGA SCAN.

Results
For the calculated volume, the calculation gives 27.14 Å³ per atom. The value obtained for the uncorrected formation energy is -0.256 eV per atom. The spin magnetization comes out at 0.0000 μB per atom. The uncorrected energy is -32.0028 eV/atom.

Unit cell a=9.165 b=9.165 c=3.231 alpha=90.00 beta=90.00 gamma=90.00
Space group P4/mbm (No. 127)
One atom of each set of equivalent atoms:
Na1 0.120 0.380 0.000 [4 per cell]
Sb1 0.178 0.678 0.500 [4 per cell]
Pb1 0.000 0.000 0.500 [2 per cell]

=====

Here is a crystal of NaSbPb2 relaxed with PBEsol from Alexandria. Energies are from meta-GGA SCAN.

Results
For the calculated volume, the calculation gives 30.70 Å³ per atom. The value obtained for the uncorrected formation energy is -0.148 eV per atom. The spin magnetization comes out at 0.0000 μB per atom. The uncorrected energy is -48.4074 eV/atom.

Unit cell a=8.702 b=8.702 c=6.485 alpha=90.00 beta=90.00 gamma=90.00
Space group I-42d (No. 122)
One atom of each set of equivalent atoms:
Na1 0.000 0.000 0.000 [4 per cell]
Sb1 0.000 0.000 0.500 [4 per cell]
Pb1 0.222 0.750 0.625 [8 per cell]

=====

Here is a crystal of NaSrSbPb2 relaxed with PBEsol from Alexandria. Energies are from meta-GGA SCAN.

Results
For the calculated volume, the calculation gives 38.04 Å³ per atom. The value obtained for the uncorrected formation energy is -0.009 eV per atom. The spin magnetization comes out at 0.0000 μB per atom. The uncorrected energy is -43.0718 eV/atom.

Unit cell a=5.899 b=5.899 c=5.465 alpha=90.00 beta=90.00 gamma=90.00
Space group P4/mmm (No. 123)
One atom of each set of equivalent atoms:
Na1 0.000 0.000 0.000 [1 per cell]
Sr1 0.500 0.500 0.000 [1 per cell]
Sb1 0.000 0.000 0.500 [1 per cell]
Pb1 0.000 0.500 0.500 [2 per cell]

=====

Here is a crystal of NaSbTe2Pb relaxed with PBEsol from Alexandria. Energies are from meta-GGA SCAN.

Results
For the calculated volume, the calculation gives 31.53 Å³ per atom. The value obtained for the uncorrected formation energy is 0.484 eV per atom. The spin magnetization comes out at 0.0000 μB per atom. The uncorrected energy is -37.8675 eV/atom.

Unit cell a=5.513 b=5.513 c=5.189 alpha=90.00 beta=90.00 gamma=90.00
Space group P4/mmm (No. 123)
One atom of each set of equivalent atoms:
Na1 0.000 0.000 0.000 [1 per cell]
Sb1 0.000 0.000 0.500 [1 per cell]
Te1 0.000 0.500 0.000 [2 per cell]
Pb1 0.500 0.500 0.500 [1 per cell]

=====

Here is a crystal of NaSb2TePb relaxed with PBEsol from Alexandria. Energies are from meta-GGA SCAN.

Results
For the calculated volume, the calculation gives 31.03 Å³ per atom. The value obtained for the uncorrected formation energy is 0.615 eV per atom. The spin magnetization comes out at 0.0000 μB per atom. The uncorrected energy is -37.7382 eV/atom.

Unit cell a=5.313 b=5.313 c=5.497 alpha=90.00 beta=90.00 gamma=90.00
Space group P4/mmm (No. 123)
One atom of each set of equivalent atoms:
Na1 0.000 0.000 0.000 [1 per cell]
Sb1 0.000 0.500 0.000 [2 per cell]
Te1 0.000 0.000 0.500 [1 per cell]
Pb1 0.500 0.500 0.500 [1 per cell]

=====

Here is a crystal of NaSc2Pb2 relaxed with PBEsol from Alexandria. Energies are from meta-GGA SCAN.

Results
For the calculated volume, the calculation gives 25.41 Å³ per atom. The spin magnetization comes out at 0.1386 μB per atom. The uncorrected energy is -37.3230 eV/atom. The calculation puts the formation enthalpy at 0 K at -2.36 eV per formula unit.

Unit cell a=8.771 b=8.771 c=3.303 alpha=90.00 beta=90.00 gamma=90.00
Space group P4/mbm (No. 127)
One atom of each set of equivalent atoms:
Na1 0.000 0.000 0.000 [2 per cell]
Sc1 0.131 0.369 0.500 [4 per cell]
Pb1 0.166 0.666 0.000 [4 per cell]

=====

Here is a crystal of NaSr2ScPb relaxed with PBEsol from Alexandria. Energies are from meta-GGA SCAN.

Results
For the calculated volume, the calculation gives 43.75 Å³ per atom. The spin magnetization comes out at 0.3782 μB per atom. The uncorrected energy is -27.5406 eV/atom. The calculation puts the formation enthalpy at 0 K at 1.08 eV per formula unit.

Unit cell a=6.282 b=6.282 c=5.543 alpha=90.00 beta=90.00 gamma=90.00
Space group P4/mmm (No. 123)
One atom of each set of equivalent atoms:
Na1 0.000 0.000 0.000 [1 per cell]
Sr1 0.000 0.500 0.500 [2 per cell]
Sc1 0.500 0.500 0.500 [1 per cell]
Pb1 0.500 0.500 0.000 [1 per cell]

=====

Here is a crystal of Na4Si2PbSe6 relaxed with PBEsol from Alexandria. Energies are from meta-GGA SCAN.

Results
For the calculated volume, the calculation gives 24.76 Å³ per atom. The value obtained for the uncorrected formation energy is -0.982 eV per atom. The spin magnetization comes out at 0.0000 μB per atom. The uncorrected energy is -18.9158 eV/atom.

Unit cell a=7.026 b=12.132 c=7.910 alpha=90.00 beta=107.27 gamma=90.00
Space group C2 (No. 5)
One atom of each set of equivalent atoms:
Na1 0.000 0.000 0.000 [2 per cell]
Na2 0.000 0.162 0.500 [2 per cell]
Na3 0.000 0.509 0.500 [2 per cell]
Na4 0.000 0.832 0.500 [2 per cell]
Si1 0.050 0.334 0.154 [4 per cell]
Pb1 0.000 0.669 0.000 [2 per cell]
Se1 0.228 0.335 0.753 [4 per cell]
Se2 0.234 0.178 0.245 [4 per cell]
Se3 0.239 0.489 0.248 [4 per cell]

=====

Here is a crystal of NaSi2PbW relaxed with PBEsol from Alexandria. Energies are from meta-GGA SCAN.

Results
For the calculated volume, the calculation gives 22.76 Å³ per atom. The value obtained for the uncorrected formation energy is 2.215 eV per atom. The spin magnetization comes out at 0.7139 μB per atom. The uncorrected energy is -31.7281 eV/atom.

Unit cell a=4.753 b=4.753 c=5.037 alpha=90.00 beta=90.00 gamma=90.00
Space group P4/mmm (No. 123)
One atom of each set of equivalent atoms:
Na1 0.000 0.000 0.000 [1 per cell]
Si1 0.000 0.500 0.000 [2 per cell]
Pb1 0.000 0.000 0.500 [1 per cell]
W1 0.500 0.500 0.500 [1 per cell]

=====

Here is a crystal of Na3SnPb relaxed with PBEsol from Alexandria. Energies are from meta-GGA SCAN.

Results
For the calculated volume, the calculation gives 36.84 Å³ per atom. The spin magnetization comes out at 0.0000 μB per atom. The uncorrected energy is -24.5799 eV/atom. The calculation puts the formation enthalpy at 0 K at 1.45 eV per formula unit.

Unit cell a=5.690 b=5.690 c=5.690 alpha=90.00 beta=90.00 gamma=90.00
Space group Pm-3m (No. 221)
One atom of each set of equivalent atoms:
Na1 0.000 0.000 0.500 [3 per cell]
Sn1 0.500 0.500 0.500 [1 per cell]
Pb1 0.000 0.000 0.000 [1 per cell]

=====

Here is a crystal of NaSr2Pb2 relaxed with PBEsol from Alexandria. Energies are from meta-GGA SCAN.

Results
For the calculated volume, the calculation gives 34.82 Å³ per atom. The spin magnetization comes out at 0.0000 μB per atom. The uncorrected energy is -40.6888 eV/atom. The calculation puts the formation enthalpy at 0 K at -3.12 eV per formula unit.

Unit cell a=8.606 b=8.606 c=4.703 alpha=90.00 beta=90.00 gamma=90.00
Space group P4/mbm (No. 127)
One atom of each set of equivalent atoms:
Na1 0.000 0.000 0.000 [2 per cell]
Sr1 0.169 0.331 0.500 [4 per cell]
Pb1 0.127 0.627 0.000 [4 per cell]

=====

Here is a crystal of NaTe2Pb relaxed with PBEsol from Alexandria. Energies are from meta-GGA SCAN.

Results
For the calculated volume, the calculation gives 31.39 Å³ per atom. The value obtained for the uncorrected formation energy is -0.487 eV per atom. The spin magnetization comes out at 0.0000 μB per atom. The uncorrected energy is -39.1120 eV/atom.

Unit cell a=4.3346 b=4.3346 c=23.1471 alpha=90.00 beta=90.00 gamma=120.00
Space group R-3m (No. 166, hexagonal axes)
One atom of each set of equivalent atoms:
Na1 0.0000 0.0000 0.0000 [3 per cell]
Te1 0.0000 0.0000 0.2475 [6 per cell]
Pb1 0.0000 0.0000 0.5000 [3 per cell]

=====

Here is a crystal of NaTe2Pb2 relaxed with PBEsol from Alexandria. Energies are from meta-GGA SCAN.

Results
For the calculated volume, the calculation gives 32.86 Å³ per atom. The value obtained for the uncorrected formation energy is -0.297 eV per atom. The spin magnetization comes out at 0.0000 μB per atom. The uncorrected energy is -46.3529 eV/atom.

Unit cell a=4.527 b=4.527 c=16.032 alpha=90.00 beta=90.00 gamma=90.00
Space group I4/mmm (No. 139)
One atom of each set of equivalent atoms:
Na1 0.000 0.000 0.000 [2 per cell]
Te1 0.000 0.000 0.405 [4 per cell]
Pb1 0.000 0.500 0.250 [4 per cell]

=====

Here is a crystal of NaTlPb3 relaxed with PBEsol from Alexandria. Energies are from meta-GGA SCAN.

Results
For the calculated volume, the calculation gives 39.44 Å³ per atom. The spin magnetization comes out at 0.0000 μB per atom. The uncorrected energy is -60.4325 eV/atom. The calculation puts the formation enthalpy at 0 K at 1.75 eV per formula unit.

Unit cell a=5.821 b=5.821 c=5.821 alpha=90.00 beta=90.00 gamma=90.00
Space group Pm-3m (No. 221)
One atom of each set of equivalent atoms:
Na1 0.000 0.000 0.000 [1 per cell]
Tl1 0.500 0.500 0.500 [1 per cell]
Pb1 0.000 0.500 0.500 [3 per cell]

=====

Here is a crystal of Na2Tl2Pb relaxed with PBEsol from Alexandria. Energies are from meta-GGA SCAN.

Results
For the calculated volume, the calculation gives 27.74 Å³ per atom. The spin magnetization comes out at 0.0000 μB per atom. The uncorrected energy is -45.9458 eV/atom. The calculation puts the formation enthalpy at 0 K at -0.80 eV per formula unit.

Unit cell a=8.353 b=8.353 c=3.975 alpha=90.00 beta=90.00 gamma=90.00
Space group P4/mbm (No. 127)
One atom of each set of equivalent atoms:
Na1 0.168 0.332 0.000 [4 per cell]
Tl1 0.133 0.633 0.500 [4 per cell]
Pb1 0.000 0.000 0.500 [2 per cell]

=====

Here is a crystal of NaTlPb relaxed with PBEsol from Alexandria. Energies are from meta-GGA SCAN.

Results
For the calculated volume, the calculation gives 27.40 Å³ per atom. The spin magnetization comes out at 0.0000 μB per atom. The uncorrected energy is -50.9910 eV/atom. The calculation puts the formation enthalpy at 0 K at -0.62 eV per formula unit.

Unit cell a=3.488 b=17.131 c=5.503 alpha=90.00 beta=90.00 gamma=90.00
Space group Cmcm (No. 63)
One atom of each set of equivalent atoms:
Na1 0.000 0.111 0.250 [4 per cell]
Tl1 0.000 0.222 0.750 [4 per cell]
Pb1 0.000 0.444 0.250 [4 per cell]

=====

Here is a crystal of Na2Tl2Pb relaxed with PBEsol from Alexandria. Energies are from meta-GGA SCAN.

Results
For the calculated volume, the calculation gives 28.31 Å³ per atom. The spin magnetization comes out at 0.0000 μB per atom. The uncorrected energy is -45.8233 eV/atom. The calculation puts the formation enthalpy at 0 K at -0.19 eV per formula unit.

Unit cell a=4.370 b=4.370 c=14.824 alpha=90.00 beta=90.00 gamma=90.00
Space group I4/mmm (No. 139)
One atom of each set of equivalent atoms:
Na1 0.000 0.500 0.250 [4 per cell]
Tl1 0.000 0.000 0.098 [4 per cell]
Pb1 0.000 0.000 0.500 [2 per cell]